1.
Compound: Ge2NF2
Source: Alexandria
Functional: PBE
Structure: optimized geometry

Symmetry: No. 127
E, Ry/atom: -0.3217
Fermi-level density of states, states/eV/cell: 2.900
Crystal system: tetragonal
Calculated density, kg/m³: 4783
Energy above the lowest structure with this stoichiometry, meV per atom: 0
M_tot, μB/f.u.: 0.3

Lattice parameters (Å, degrees): 7.0280 7.0280 2.7732 90.00 90.00 90.00
Last column: nearest neighbours and their distance in Å.
Positions (direct):
Ge (0.2285, 0.7285, 0.5000)  2 F 2.06
Ge (0.7285, 0.7715, 0.5000)  2 F 2.06
Ge (0.7715, 0.2715, 0.5000)  2 F 2.06
Ge (0.2715, 0.2285, 0.5000)  2 F 2.06
N (0.0000, 0.0000, 0.0000)  2 N 2.77, 4 F 2.81, 8 Ge 2.85
N (0.5000, 0.5000, 0.0000)  2 N 2.77, 4 F 2.81, 8 Ge 2.85
F (0.3820, 0.8820, 0.0000)  2 Ge 2.06
F (0.8820, 0.6180, 0.0000)  2 Ge 2.06
F (0.6180, 0.1180, 0.0000)  2 Ge 2.06
F (0.1180, 0.3820, 0.0000)  2 Ge 2.06

=====

2.
Compound: GeN2F5
Source: Alexandria
Functional: PBE
Structure: optimized geometry

Symmetry: No. 85
E, Ry/atom: -0.2942
Fermi-level density of states, states/eV/cell: 10.870
Crystal system: tetragonal
Calculated density, kg/m³: 2443
Energy above the lowest structure with this stoichiometry, meV per atom: 1202
M_tot, μB/f.u.: 5.0

Lattice parameters (Å, degrees): 5.3567 5.3567 9.2681 90.00 90.00 90.00
Last column: nearest neighbours and their distance in Å.
Positions (direct):
Ge (0.0000, 0.5000, 0.2788)  5 F 1.73-1.81
Ge (0.5000, 0.0000, 0.7212)  5 F 1.73-1.81
N (0.0000, 0.5000, 0.7024)  4 F 2.11
N (0.5000, 0.0000, 0.2976)  4 F 2.11
N (0.0000, 0.0000, 0.0000)  4 F 2.81
N (0.5000, 0.5000, 0.0000)  4 F 2.81
F (0.0000, 0.5000, 0.0924)  1 Ge 1.73
F (0.5000, 0.0000, 0.9076)  1 Ge 1.73
F (0.1844, 0.7697, 0.3272)  1 Ge 1.81
F (0.8156, 0.2303, 0.3272)  1 Ge 1.81
F (0.2697, 0.3156, 0.3272)  1 Ge 1.81
F (0.7303, 0.6844, 0.3272)  1 Ge 1.81
F (0.3156, 0.7303, 0.6728)  1 Ge 1.81
F (0.6844, 0.2697, 0.6728)  1 Ge 1.81
F (0.2303, 0.1844, 0.6728)  1 Ge 1.81
F (0.7697, 0.8156, 0.6728)  1 Ge 1.81

=====

3.
Compound: GeN3F7
Source: Alexandria
Functional: PBE
Structure: optimized geometry

Symmetry: No. 127
E, Ry/atom: -0.2811
Fermi-level density of states, states/eV/cell: 14.301
Crystal system: tetragonal
Calculated density, kg/m³: 1928
Energy above the lowest structure with this stoichiometry, meV per atom: 32
M_tot, μB/f.u.: 4.5

Lattice parameters (Å, degrees): 9.7425 9.7425 4.4949 90.00 90.00 90.00
Last column: nearest neighbours and their distance in Å.
Positions (direct):
Ge (0.5000, 0.0000, 0.0000)  2 F 1.86
Ge (0.0000, 0.5000, 0.0000)  2 F 1.86
N (0.5000, 0.5000, 0.0000)  2 F 2.25
N (0.0000, 0.0000, 0.0000)  2 F 2.25
N (0.7430, 0.2430, 0.5000)  2 F 1.38
N (0.2570, 0.7570, 0.5000)  2 F 1.38
N (0.2430, 0.2570, 0.5000)  2 F 1.38
N (0.7570, 0.7430, 0.5000)  2 F 1.38
F (0.5000, 0.5000, 0.5000)  2 N 2.25
F (0.0000, 0.0000, 0.5000)  2 N 2.25
F (0.8651, 0.3651, 0.0000)  1 Ge 1.86
F (0.1349, 0.6349, 0.0000)  1 Ge 1.86
F (0.3651, 0.1349, 0.0000)  1 Ge 1.86
F (0.6349, 0.8651, 0.0000)  1 Ge 1.86
F (0.6792, 0.1792, 0.7378)  1 N 1.38
F (0.3208, 0.8208, 0.7378)  1 N 1.38
F (0.1792, 0.3208, 0.7378)  1 N 1.38
F (0.8208, 0.6792, 0.7378)  1 N 1.38
F (0.3208, 0.8208, 0.2622)  1 N 1.38
F (0.6792, 0.1792, 0.2622)  1 N 1.38
F (0.8208, 0.6792, 0.2622)  1 N 1.38
F (0.1792, 0.3208, 0.2622)  1 N 1.38